# 1
A PBEsol-optimized structure of MnCdIn, computed with SCAN.

Summary:
Theoretical density ... 7.42 g/cm³
SG ... F-43m, No. 216
V ... 21.1 Å³ per atom
Energy relative to the elements ... 27 kJ/mol of formula units

CIF file:
```
data_MnCdIn
_chemical_formula_sum 'Mn4 Cd4 In4'
_symmetry_space_group_name_H-M 'P 1'
_symmetry_Int_Tables_number 1
_cell_length_a 6.322
_cell_length_b 6.322
_cell_length_c 6.322
_cell_angle_alpha 90.00
_cell_angle_beta 90.00
_cell_angle_gamma 90.00
loop_
_symmetry_equiv_pos_as_xyz
'x,y,z'
loop_
_atom_site_label
_atom_site_type_symbol
_atom_site_fract_x
_atom_site_fract_y
_atom_site_fract_z
_atom_site_occupancy
Mn1 Mn 0.000 0.000 0.000 1
Mn2 Mn 0.000 0.500 0.500 1
Mn3 Mn 0.500 0.000 0.500 1
Mn4 Mn 0.500 0.500 0.000 1
Cd1 Cd 0.250 0.250 0.250 1
Cd2 Cd 0.250 0.750 0.750 1
Cd3 Cd 0.750 0.250 0.750 1
Cd4 Cd 0.750 0.750 0.250 1
In1 In 0.250 0.250 0.750 1
In2 In 0.250 0.750 0.250 1
In3 In 0.750 0.250 0.250 1
In4 In 0.750 0.750 0.750 1
```

# 2
A PBEsol-optimized structure of Cd8Ag, computed with SCAN.

Summary:
Theoretical density ... 9.25 g/cm³
SG ... I4/mmm, No. 139
V ... 20.1 Å³ per atom
Energy relative to the elements ... 14 kJ/mol of formula units

CIF file:
```
data_Cd8Ag
_chemical_formula_sum 'Cd8 Ag1'
_symmetry_space_group_name_H-M 'P 1'
_symmetry_Int_Tables_number 1
_cell_length_a 6.818
_cell_length_b 6.818
_cell_length_c 6.818
_cell_angle_alpha 95.77
_cell_angle_beta 95.77
_cell_angle_gamma 143.04
loop_
_symmetry_equiv_pos_as_xyz
'x,y,z'
loop_
_atom_site_label
_atom_site_type_symbol
_atom_site_fract_x
_atom_site_fract_y
_atom_site_fract_z
_atom_site_occupancy
Cd1 Cd 0.000 0.330 0.330 1
Cd2 Cd 0.000 0.670 0.670 1
Cd3 Cd 0.330 0.000 0.330 1
Cd4 Cd 0.336 0.336 0.673 1
Cd5 Cd 0.336 0.664 0.000 1
Cd6 Cd 0.664 0.336 0.000 1
Cd7 Cd 0.664 0.664 0.327 1
Cd8 Cd 0.670 0.000 0.670 1
Ag1 Ag 0.000 0.000 0.000 1
```

# 3
A PBEsol-optimized structure of ScTlRu2I, computed with SCAN.

Summary:
Theoretical density ... 7.61 g/cm³
SG ... P4/mmm, No. 123
Formation energy (no corrections) ... 1080 meV per atom
V ... 25.2 Å³ per atom

CIF file:
```
data_ScTlRu2I
_chemical_formula_sum 'Sc1 Tl1 Ru2 I1'
_symmetry_space_group_name_H-M 'P 1'
_symmetry_Int_Tables_number 1
_cell_length_a 4.773
_cell_length_b 4.773
_cell_length_c 5.538
_cell_angle_alpha 90.00
_cell_angle_beta 90.00
_cell_angle_gamma 90.00
loop_
_symmetry_equiv_pos_as_xyz
'x,y,z'
loop_
_atom_site_label
_atom_site_type_symbol
_atom_site_fract_x
_atom_site_fract_y
_atom_site_fract_z
_atom_site_occupancy
Sc1 Sc 0.000 0.000 0.000 1
Tl1 Tl 0.500 0.500 0.500 1
Ru1 Ru 0.000 0.500 0.000 1
Ru2 Ru 0.500 0.000 0.000 1
I1 I 0.000 0.000 0.500 1
```

Result set for uncorrected energy: -327.1, -274.5, -187.6 eV for the cell shown, one per record in the order listed.